1.
A geometry-optimized Li2PuAlO6 structure, computed with PBE.

Results
* uncorrected energy: -7.538 eV/atom
* ρ: 6.06 Mg/m³

The structure in CIF format:
```
data_Li2PuAlO6
_chemical_formula_sum 'Li4 Pu2 Al2 O12'
_symmetry_space_group_name_H-M 'P 1 21/c 1'
_symmetry_Int_Tables_number 14
_symmetry_space_group_name_Hall '-P 2ybc'
_cell_length_a 5.183
_cell_length_b 5.358
_cell_length_c 9.118
_cell_angle_alpha 90.00
_cell_angle_beta 124.44
_cell_angle_gamma 90.00
loop_
_atom_site_label
_atom_site_fract_x
_atom_site_fract_y
_atom_site_fract_z
Li1 0.247 0.025 0.249
Pu1 0.500 0.000 0.000
Al1 0.000 0.000 0.500
O1 0.123 0.199 0.943
O2 0.248 0.687 0.942
O3 0.356 0.039 0.743
```

***

2.
A geometry-optimized Li4AlRh3O8 structure, computed with PBE.

Results
* uncorrected energy: -6.148 eV/atom
* ρ: 5.39 Mg/m³

The structure in CIF format:
```
data_Li4AlRh3O8
_chemical_formula_sum 'Li12 Al3 Rh9 O24'
_symmetry_space_group_name_H-M 'R -3 m'
_symmetry_Int_Tables_number 166
_symmetry_space_group_name_Hall '-R 3 2"'
_cell_length_a 6.0436
_cell_length_b 6.0436
_cell_length_c 14.3624
_cell_angle_alpha 90.00
_cell_angle_beta 90.00
_cell_angle_gamma 120.00
loop_
_atom_site_label
_atom_site_fract_x
_atom_site_fract_y
_atom_site_fract_z
Li1 0.0000 0.0000 0.0000
Li2 0.0000 0.5000 0.0000
Al1 0.0000 0.0000 0.5000
Rh1 0.0000 0.5000 0.5000
O1 0.0000 0.0000 0.2431
O2 0.0213 0.5107 0.2411
```